VASP calculation (PBE) on a relaxed structure of Sb5Au.

Unit cell a=4.1647 b=4.0454 c=10.0706 alpha=101.59 beta=90.00 gamma=90.00
With the nearest neighbours (Å) after each atom.
Fractional coordinates of all 6 atoms:
Sb 0.5000 0.1257 0.2513  6 Sb 3.18-3.20, 2 Au 3.24
Sb 0.5000 0.8744 0.7487  6 Sb 3.18-3.20, 2 Au 3.24
Sb 0.0000 0.3090 0.6179  6 Sb 3.08-3.18
Sb 0.0000 0.6910 0.3821  6 Sb 3.08-3.18
Au 0.0000 0.0000 0.0000  8 Sb 2.90-3.24
Sb 0.5000 0.5000 0.0000  4 Au 2.90, 4 Sb 3.20

Uncorrected formation energy: 142 meV/atom
Space group: No. 65
Energy: -3.84 eV per atom

VASP calculation (PBE) on a relaxed structure of CeYSc2In4.

Unit cell a=5.2185 b=5.2185 c=9.0905 alpha=73.32 beta=73.32 gamma=60.00
With the nearest neighbours (Å) after each atom.
Fractional coordinates of all 8 atoms:
In 0.3737 0.3737 0.8790  4 Sc 3.18-3.21, 3 Y 3.19, 1 Ce 3.25
In 0.1234 0.1234 0.6298  1 Y 3.18, 4 Sc 3.19-3.26, 3 Ce 3.21
In 0.6263 0.6263 0.1210  4 Sc 3.18-3.21, 3 Y 3.19, 1 Ce 3.25
Y 0.0000 0.0000 0.0000  8 In 3.18-3.19
Sc 0.7499 0.7499 0.7504  8 In 3.18-3.26
Sc 0.2501 0.2501 0.2496  8 In 3.18-3.26
In 0.8766 0.8766 0.3702  1 Y 3.18, 4 Sc 3.19-3.26, 3 Ce 3.21
Ce 0.5000 0.5000 0.5000  8 In 3.21-3.25

Calculated formation energy: -0.40 eV/atom
Space group: No. 166
Energy: -4.90 eV per atom

VASP calculation (PBE) on a relaxed structure of SmHfMgAl.

Unit cell a=5.0416 b=5.0416 c=5.0416 alpha=60.00 beta=60.00 gamma=60.00
With the nearest neighbours (Å) after each atom.
Fractional coordinates of all 4 atoms:
Hf 0.2500 0.2500 0.2500  4 Mg 3.09, 4 Al 3.09
Mg 0.5000 0.5000 0.5000  4 Hf 3.09, 4 Sm 3.09
Sm 0.7500 0.7500 0.7500  4 Mg 3.09, 4 Al 3.09
Al 0.0000 0.0000 0.0000  4 Sm 3.09, 4 Hf 3.09

Calculated formation energy: -0.09 eV/atom
Space group: No. 216
Energy: -5.10 eV per atom

VASP calculation (PBE) on a relaxed structure of MnAlSiP2.

Unit cell a=4.5140 b=4.5944 c=4.5140 alpha=90.00 beta=90.00 gamma=90.00
With the nearest neighbours (Å) after each atom.
Fractional coordinates of all 5 atoms:
Si 0.0000 0.0000 0.0000  4 P 2.26, 2 Al 2.30
P 0.5000 0.0000 0.0000  2 Si 2.26
Mn 0.5000 0.5000 0.5000  4 Al 3.19, 8 P 3.22
P 0.0000 0.0000 0.5000  2 Si 2.26
Al 0.0000 0.5000 0.0000  2 Si 2.30

Uncorrected formation energy: 1267 meV/atom
Space group: No. 123
Energy: -4.56 eV per atom

VASP calculation (PBE) on a relaxed structure of LaTl2Cr.

Unit cell a=10.1359 b=10.1359 c=10.1359 alpha=20.03 beta=20.03 gamma=20.03
With the nearest neighbours (Å) after each atom.
Fractional coordinates of all 4 atoms:
Tl 0.5117 0.5117 0.5117  3 Cr 2.95
La 0.7500 0.7500 0.7500  6 Tl 3.49, 6 La 3.53
Cr 0.2500 0.2500 0.2500  6 Tl 2.95
Tl 0.9883 0.9883 0.9883  3 Cr 2.95

Calculated formation energy: 0.27 eV/atom
Space group: No. 166
Energy: -4.55 eV per atom

VASP calculation (PBE) on a relaxed structure of Ac6AlGe2.

Unit cell a=9.4146 b=9.4146 c=9.4146 alpha=107.59 beta=109.10 gamma=111.75
With the nearest neighbours (Å) after each atom.
Fractional coordinates of all 18 atoms:
Al 0.0000 0.0000 0.0000  8 Ac 3.43-3.49
Ac 0.7047 0.0328 0.3280  3 Ge 3.21-3.27
Ge 0.3591 0.0000 0.3591  1 Ge 3.08, 6 Ac 3.27-3.28
Ac 0.2953 0.9672 0.6720  3 Ge 3.21-3.27
Ac 0.7047 0.3767 0.6720  3 Ge 3.21-3.27
Ge 0.5000 0.6149 0.1149  1 Ge 2.56
Ge 0.5000 0.3851 0.8851  1 Ge 2.56
Ac 0.8038 0.2478 0.0516  2 Ge 3.28-3.65, 2 Al 3.49-3.53
Ge 0.6409 0.0000 0.6409  1 Ge 3.08, 6 Ac 3.27-3.28
Ac 0.1962 0.7522 0.9484  2 Ge 3.28-3.65, 2 Al 3.49-3.53
Ac 0.2953 0.6233 0.3280  3 Ge 3.21-3.27
Ac 0.8038 0.7522 0.5560  2 Ge 3.28-3.65, 2 Al 3.49-3.53
Al 0.0000 0.5000 0.5000  8 Ac 3.53-3.66
Ac 0.4451 0.2692 0.1759  3 Ge 3.36-3.48, 1 Al 3.43
Ac 0.0934 0.2692 0.8241  3 Ge 3.36-3.48, 1 Al 3.43
Ac 0.9066 0.7308 0.1759  3 Ge 3.36-3.48, 1 Al 3.43
Ac 0.5549 0.7308 0.8241  3 Ge 3.36-3.48, 1 Al 3.43
Ac 0.1962 0.2478 0.4440  2 Ge 3.28-3.65, 2 Al 3.49-3.53

Calculated formation energy: -0.39 eV/atom
Space group: No. 71
Energy: -4.57 eV per atom